Entry 1:
The following is a PBE calculation of an optimized crystal structure of CsMg14Cr, from Alexandria via LeMat-Bulk.

Formation energy = 3.85 eV per formula unit
Density of states at the Fermi level = 6.3 states/eV/f.u.

abc: 10.858 6.526 6.526
angles: 59.18 90.00 90.00
Fractional positions:
Cs 0.000 0.000 0.000
Mg 0.000 0.499 0.978
Mg 0.000 0.978 0.499
Mg 0.232 0.623 0.623
Mg 0.258 0.131 0.618
Mg 0.258 0.618 0.131
Mg 0.279 0.133 0.133
Mg 0.500 0.460 0.460
Mg 0.500 0.471 0.952
Mg 0.500 0.952 0.471
Mg 0.500 0.958 0.958
Mg 0.721 0.133 0.133
Mg 0.742 0.131 0.618
Mg 0.742 0.618 0.131
Mg 0.768 0.623 0.623
Cr 0.000 0.457 0.457

---

Entry 2:
The following is a PBE calculation of an optimized crystal structure of Pr2Cd2Hg, from Alexandria via LeMat-Bulk.

Formation energy = -0.92 eV per formula unit
Density of states at the Fermi level = 4.0 states/eV/f.u.

abc: 10.860 4.635 6.051
angles: 90.00 96.63 90.00
Fractional positions:
Pr 0.209 0.000 0.227
Pr 0.291 0.500 0.773
Pr 0.709 0.500 0.227
Pr 0.791 0.000 0.773
Cd 0.083 0.000 0.703
Cd 0.417 0.500 0.297
Cd 0.583 0.500 0.703
Cd 0.917 0.000 0.297
Hg 0.000 0.500 0.000
Hg 0.500 0.000 0.000

---

Entry 3:
The following is a PBE calculation of an optimized crystal structure of Hf3SbS, from Alexandria via LeMat-Bulk.

Energy relative to the elements, uncorrected = -1.47 eV per formula unit
Density of states at the Fermi level = 3.7 states/eV/f.u.

abc: 4.772 4.772 4.772
angles: 90.00 90.00 90.00
Fractional positions:
Hf 0.000 0.000 0.500
Hf 0.000 0.500 0.000
Hf 0.500 0.000 0.000
Sb 0.500 0.500 0.500
S 0.000 0.000 0.000

---

Entry 4:
The following is a PBE calculation of an optimized crystal structure of Pm5Te2H, from Alexandria via LeMat-Bulk.

Density of states at the Fermi level = 6.8 states/eV/f.u.
Final energy = -4.7391 eV per atom

abc: 6.860 6.860 12.938
angles: 90.00 90.00 127.03
Fractional positions:
Pm 0.065 0.935 0.623
Pm 0.065 0.935 0.877
Pm 0.369 0.631 0.250
Pm 0.383 0.617 0.595
Pm 0.383 0.617 0.905
Pm 0.617 0.383 0.095
Pm 0.617 0.383 0.405
Pm 0.631 0.369 0.750
Pm 0.935 0.065 0.123
Pm 0.935 0.065 0.377
Te 0.192 0.808 0.081
Te 0.192 0.808 0.419
Te 0.808 0.192 0.581
Te 0.808 0.192 0.919
H 0.215 0.785 0.750
H 0.785 0.215 0.250

---

Entry 5:
The following is a PBE calculation of an optimized crystal structure of CoCu2RuPb, from Alexandria via LeMat-Bulk.

Formation energy = 6.99 eV per formula unit
Density of states at the Fermi level = 9.1 states/eV/f.u.

abc: 4.666 4.666 5.090
angles: 90.00 90.00 90.00
Fractional positions:
Co 0.000 0.000 0.000
Cu 0.000 0.500 0.500
Cu 0.500 0.000 0.500
Ru 0.500 0.500 0.500
Pb 0.500 0.500 0.000

---

Entry 6:
The following is a PBE calculation of an optimized crystal structure of Li4HoTm3Te8, from Alexandria via LeMat-Bulk.

Energy relative to the elements, uncorrected = -20.40 eV per formula unit

abc: 8.615 8.615 8.630
angles: 119.98 119.98 60.01
Fractional positions:
Li 0.000 0.000 0.000
Li 0.000 0.500 0.000
Li 0.500 0.000 0.000
Li 0.500 0.500 0.000
Ho 0.000 0.000 0.500
Tm 0.000 0.500 0.500
Tm 0.500 0.000 0.500
Tm 0.500 0.500 0.500
Te 0.249 0.249 0.248
Te 0.251 0.748 0.247
Te 0.252 0.252 0.753
Te 0.252 0.749 0.753
Te 0.748 0.251 0.247
Te 0.748 0.748 0.247
Te 0.749 0.252 0.753
Te 0.751 0.751 0.752

---

Entry 7:
The following is a PBE calculation of an optimized crystal structure of KLiHgH2, from Alexandria via LeMat-Bulk.

Density of states at the Fermi level = 2.0 states/eV/f.u.
Final energy = -1.5224 eV per atom

abc: 4.781 4.781 6.096
angles: 90.00 90.00 90.00
Fractional positions:
K 0.000 0.000 0.000
Li 0.500 0.500 0.500
Hg 0.000 0.000 0.500
H 0.000 0.500 0.000
H 0.500 0.000 0.000

---

Entry 8:
The following is a PBE calculation of an optimized crystal structure of SrPr4Sn15, from Alexandria via LeMat-Bulk.

Formation energy = -9.63 eV per formula unit
Density of states at the Fermi level = 10.7 states/eV/f.u.

abc: 4.769 4.769 24.410
angles: 90.00 90.00 90.00
Fractional positions:
Sr 0.000 0.000 0.000
Pr 0.000 0.000 0.202
Pr 0.000 0.000 0.401
Pr 0.000 0.000 0.599
Pr 0.000 0.000 0.798
Sn 0.000 0.500 0.102
Sn 0.000 0.500 0.301
Sn 0.000 0.500 0.500
Sn 0.000 0.500 0.699
Sn 0.000 0.500 0.898
Sn 0.500 0.000 0.102
Sn 0.500 0.000 0.301
Sn 0.500 0.000 0.500
Sn 0.500 0.000 0.699
Sn 0.500 0.000 0.898
Sn 0.500 0.500 0.000
Sn 0.500 0.500 0.200
Sn 0.500 0.500 0.401
Sn 0.500 0.500 0.599
Sn 0.500 0.500 0.800

---

Entry 9:
The following is a PBE calculation of an optimized crystal structure of BaGaB2, from Alexandria via LeMat-Bulk.

Formation energy = 2.06 eV per formula unit
Density of states at the Fermi level = 1.6 states/eV/f.u.

abc: 4.679 4.679 14.121
angles: 90.00 90.00 90.00
Fractional positions:
Ba 0.000 0.250 0.375
Ba 0.000 0.750 0.625
Ba 0.500 0.250 0.125
Ba 0.500 0.750 0.875
Ga 0.000 0.250 0.875
Ga 0.000 0.750 0.125
Ga 0.500 0.250 0.625
Ga 0.500 0.750 0.375
B 0.000 0.000 0.000
B 0.000 0.500 0.000
B 0.250 0.250 0.750
B 0.250 0.750 0.250
B 0.500 0.000 0.500
B 0.500 0.500 0.500
B 0.750 0.250 0.750
B 0.750 0.750 0.250

---

Entry 10:
The following is a PBE calculation of an optimized crystal structure of Re2IrBr, from Alexandria via LeMat-Bulk.

Energy relative to the elements, uncorrected = 4.19 eV per formula unit
Density of states at the Fermi level = 1.1 states/eV/f.u.

abc: 6.287 6.287 6.287
angles: 90.00 90.00 90.00
Fractional positions:
Re 0.250 0.250 0.250
Re 0.250 0.250 0.750
Re 0.250 0.750 0.250
Re 0.250 0.750 0.750
Re 0.750 0.250 0.250
Re 0.750 0.250 0.750
Re 0.750 0.750 0.250
Re 0.750 0.750 0.750
Ir 0.000 0.000 0.000
Ir 0.000 0.500 0.500
Ir 0.500 0.000 0.500
Ir 0.500 0.500 0.000
Br 0.000 0.000 0.500
Br 0.000 0.500 0.000
Br 0.500 0.000 0.000
Br 0.500 0.500 0.500

---

Entry 11:
The following is a PBE calculation of an optimized crystal structure of ZrCrSe2, from Alexandria via LeMat-Bulk.

Energy relative to the elements, uncorrected = -2.26 eV per formula unit
Density of states at the Fermi level = 2.6 states/eV/f.u.

abc: 4.626 4.626 3.372
angles: 90.00 90.00 90.00
Fractional positions:
Zr 0.000 0.000 0.000
Cr 0.500 0.500 0.000
Se 0.000 0.500 0.500
Se 0.500 0.000 0.500

---

Entry 12:
The following is a PBE calculation of an optimized crystal structure of PmZrPb, from Alexandria via LeMat-Bulk.

Formation energy = -1.13 eV per formula unit
Density of states at the Fermi level = 3.6 states/eV/f.u.

abc: 4.404 4.404 17.325
angles: 90.00 90.00 90.00
Fractional positions:
Pm 0.000 0.000 0.176
Pm 0.000 0.000 0.824
Pm 0.500 0.500 0.324
Pm 0.500 0.500 0.676
Zr 0.000 0.500 0.000
Zr 0.000 0.500 0.500
Zr 0.500 0.000 0.000
Zr 0.500 0.000 0.500
Pb 0.000 0.000 0.370
Pb 0.000 0.000 0.630
Pb 0.500 0.500 0.130
Pb 0.500 0.500 0.870